## PrAs3Pt3 (GGA-PBE)

Data for a relaxed structure of PrAs3Pt3.

a b c (Å): 6.859 6.859 6.859
angles (deg): 90.00 90.00 90.00
Atoms (fractional coordinates):
Pr  0.000  0.000  0.000
Pr  0.500  0.500  0.500
As  0.000  0.250  0.500
As  0.000  0.750  0.500
As  0.250  0.500  0.000
As  0.500  0.000  0.250
As  0.500  0.000  0.750
As  0.750  0.500  0.000
Pt  0.000  0.500  0.250
Pt  0.000  0.500  0.750
Pt  0.250  0.000  0.500
Pt  0.500  0.250  0.000
Pt  0.500  0.750  0.000
Pt  0.750  0.000  0.500

## Properties
Calculated formation energy ... -44.8 kJ/mol of atoms
E ... -5.73 eV per atom